BeTe2NO | Alexandria via LeMat-Bulk | PBE | optimized geometry; ΔE to the lowest computed polymorph = 0.712 eV/atom; N(E_F) = 3.061 states/eV per cell
1.0
4.636 0.000 0.000
0.000 4.636 0.000
0.000 0.000 3.778
Be Te N O
1 2 1 1
Direct
0.000 0.000 0.000
0.000 0.500 0.500
0.500 0.000 0.500
0.500 0.500 0.000
0.500 0.500 0.500

---

Hf12Sb5As2 | Alexandria via LeMat-Bulk | PBE | optimized geometry; N(E_F) = 15.201 states/eV per cell; VASP energy = -8.057 eV per atom
1.0
8.102 -3.513 0.000
8.102 3.513 0.000
-2.160 0.000 8.087
Hf Sb As
12 5 2
Direct
0.003 0.003 0.180
0.065 0.618 0.902
0.132 0.598 0.442
0.382 0.935 0.098
0.402 0.868 0.558
0.490 0.490 0.713
0.510 0.510 0.287
0.598 0.132 0.442
0.618 0.065 0.902
0.868 0.402 0.558
0.935 0.382 0.098
0.997 0.997 0.820
0.000 0.000 0.500
0.280 0.280 0.640
0.312 0.312 0.144
0.688 0.688 0.856
0.720 0.720 0.360
0.307 0.693 0.000
0.693 0.307 0.000

---

Rb2GeTeSe4 | Alexandria via LeMat-Bulk | PBE | optimized geometry; VASP energy = -3.482 eV per atom
1.0
6.536 -6.464 0.000
6.536 6.464 0.000
-6.411 0.000 6.624
Rb Ge Te Se
4 2 2 8
Direct
0.019 0.019 0.267
0.509 0.026 0.272
0.974 0.491 0.728
0.981 0.981 0.733
0.533 0.090 0.828
0.910 0.467 0.172
0.409 0.491 0.211
0.509 0.591 0.789
0.246 0.303 0.250
0.250 0.717 0.236
0.283 0.750 0.764
0.292 0.279 0.826
0.697 0.754 0.750
0.721 0.708 0.174
0.727 0.258 0.790
0.742 0.273 0.210

---

Tl2GeTe3 | Alexandria via LeMat-Bulk | PBE | optimized geometry; ΔE to the lowest computed polymorph = 0.073 eV/atom; N(E_F) = 2.148 states/eV per cell
1.0
6.060 -4.307 0.000
6.060 4.307 0.000
-1.402 0.000 7.813
Tl Ge Te
4 2 6
Direct
0.007 0.684 0.867
0.316 0.993 0.633
0.684 0.007 0.367
0.993 0.316 0.133
0.425 0.575 0.250
0.575 0.425 0.750
0.116 0.884 0.250
0.276 0.430 0.522
0.430 0.276 0.022
0.570 0.724 0.978
0.724 0.570 0.478
0.884 0.116 0.750